(1)
The following is a PBE calculation of a relaxed structure of CrMoRh2, from the Alexandria database.

POSCAR file:
```
CrMoRh2
1.0
3.741 0.000 0.000
0.000 3.741 0.000
1.870 1.870 8.766
Cr Mo Rh
2 2 4
direct
0.500 0.500 0.000 Cr
0.250 0.750 0.500 Cr
0.000 0.000 0.000 Mo
0.750 0.250 0.500 Mo
0.614 0.125 0.250 Rh
0.136 0.625 0.250 Rh
0.375 0.386 0.750 Rh
0.875 0.864 0.750 Rh
```

Space group = I-42d, No. 122
Crystal system = tetragonal
Formation energy from the elements = 450.0 meV/atom



(2)
The following is a PBE calculation of a relaxed structure of TlSn2GeSe6, from the Alexandria database.

POSCAR file:
```
TlSn2GeSe6
1.0
7.220 0.435 0.452
2.791 9.683 0.643
2.791 0.284 9.700
Tl Sn Ge Se
2 4 2 12
direct
0.250 0.879 0.121 Tl
0.750 0.121 0.879 Tl
0.272 0.808 0.629 Sn
0.228 0.371 0.192 Sn
0.728 0.192 0.371 Sn
0.772 0.629 0.808 Sn
0.250 0.260 0.740 Ge
0.750 0.740 0.260 Ge
0.290 0.011 0.765 Se
0.210 0.235 0.989 Se
0.710 0.989 0.235 Se
0.790 0.765 0.011 Se
0.444 0.681 0.387 Se
0.056 0.613 0.319 Se
0.556 0.319 0.613 Se
0.944 0.387 0.681 Se
0.893 0.836 0.637 Se
0.607 0.363 0.164 Se
0.107 0.164 0.363 Se
0.393 0.637 0.836 Se
```

Space group = C2/c, No. 15
Crystal system = monoclinic
Electronic total energy = -38.15 eV per formula unit



(3)
The following is a PBE calculation of a relaxed structure of Ba3Al2Sn3, from the Alexandria database.

POSCAR file:
```
Ba3Al2Sn3
1.0
4.789 0.000 0.000
-2.394 6.488 0.000
0.000 0.000 18.807
Ba Al Sn
6 4 6
direct
0.648 0.296 0.064 Ba
0.352 0.704 0.564 Ba
0.648 0.296 0.436 Ba
0.352 0.704 0.936 Ba
0.355 0.711 0.250 Ba
0.645 0.289 0.750 Ba
0.951 0.903 0.682 Al
0.049 0.097 0.182 Al
0.951 0.903 0.818 Al
0.049 0.097 0.318 Al
0.929 0.857 0.065 Sn
0.071 0.143 0.565 Sn
0.929 0.857 0.435 Sn
0.071 0.143 0.935 Sn
0.644 0.288 0.250 Sn
0.356 0.712 0.750 Sn
```

Space group = Cmcm, No. 63
Crystal system = orthorhombic
Formation energy from the elements = -410.0 meV/atom



What did the second record say?
The following is a PBE calculation of a relaxed structure of TlSn2GeSe6, from the Alexandria database.

POSCAR file:
```
TlSn2GeSe6
1.0
7.220 0.435 0.452
2.791 9.683 0.643
2.791 0.284 9.700
Tl Sn Ge Se
2 4 2 12
direct
0.250 0.879 0.121 Tl
0.750 0.121 0.879 Tl
0.272 0.808 0.629 Sn
0.228 0.371 0.192 Sn
0.728 0.192 0.371 Sn
0.772 0.629 0.808 Sn
0.250 0.260 0.740 Ge
0.750 0.740 0.260 Ge
0.290 0.011 0.765 Se
0.210 0.235 0.989 Se
0.710 0.989 0.235 Se
0.790 0.765 0.011 Se
0.444 0.681 0.387 Se
0.056 0.613 0.319 Se
0.556 0.319 0.613 Se
0.944 0.387 0.681 Se
0.893 0.836 0.637 Se
0.607 0.363 0.164 Se
0.107 0.164 0.363 Se
0.393 0.637 0.836 Se
```

Space group = C2/c, No. 15
Crystal system = monoclinic
Electronic total energy = -38.15 eV per formula unit